Record 1
A relaxed structure of MnMoW2, computed with GGA-PBEsol.

a b c (Å): 2.682 2.682 8.500
angles (deg): 90.00 90.00 108.55
Sites, in units of the cell vectors:
Mn: 0.000 0.000 0.000
Mo: 0.500 0.500 0.234
W: 0.000 0.000 0.498
W: 0.500 0.500 0.764

Calculated values
**SG**: Cmm2, No. 35
**Polymorph energy (0 for the lowest one)**: 0.03 eV/f.u.

Record 2
A relaxed structure of MnMoW3, computed with GGA-PBEsol.

a b c (Å): 4.382 4.382 4.382
angles (deg): 90.00 90.00 90.00
Sites, in units of the cell vectors:
Mn: 0.000 0.000 0.000
Mo: 0.500 0.500 0.500
W: 0.000 0.000 0.500
W: 0.000 0.500 0.000
W: 0.500 0.000 0.000

Calculated values
**SG**: Pm-3m, No. 221

Record 3
A relaxed structure of Mn2MoW, computed with GGA-PBEsol.

a b c (Å): 4.868 4.868 4.868
angles (deg): 136.93 136.93 62.54
Sites, in units of the cell vectors:
Mn: 0.000 0.000 0.000
Mn: 0.750 0.250 0.500
Mo: 0.500 0.500 0.000
W: 0.250 0.750 0.500

Calculated values
**SG**: I-4m2, No. 119

Record 4
A relaxed structure of MnMoW2, computed with GGA-PBEsol.

a b c (Å): 9.097 9.097 9.097
angles (deg): 17.34 17.34 17.34
Sites, in units of the cell vectors:
Mn: 0.000 0.000 0.000
Mo: 0.500 0.500 0.500
W: 0.257 0.257 0.257
W: 0.743 0.743 0.743

Calculated values
**SG**: R-3m, No. 166
**Polymorph energy (0 for the lowest one)**: 1.33 eV/f.u.

Record 5
A relaxed structure of Mn2MoW, computed with GGA-PBEsol.

a b c (Å): 4.199 4.199 2.939
angles (deg): 90.00 90.00 90.00
Sites, in units of the cell vectors:
Mn: 0.000 0.500 0.000
Mn: 0.500 0.000 0.000
Mo: 0.000 0.000 0.500
W: 0.500 0.500 0.500

Calculated values
**SG**: P4/mmm, No. 123

Record 6
A relaxed structure of MnMoW2, computed with GGA-PBEsol.

a b c (Å): 3.079 3.079 6.065
angles (deg): 90.00 90.00 90.00
Sites, in units of the cell vectors:
Mn: 0.000 0.000 0.000
Mo: 0.000 0.000 0.500
W: 0.500 0.500 0.241
W: 0.500 0.500 0.759

Calculated values
**SG**: P4/mmm, No. 123
**Polymorph energy (0 for the lowest one)**: 0.09 eV/f.u.

Record 7
A relaxed structure of MnMoW2, computed with GGA-PBEsol.

a b c (Å): 2.682 2.682 8.495
angles (deg): 90.00 90.00 108.66
Sites, in units of the cell vectors:
Mn: 0.000 0.000 0.000
Mo: 0.000 0.000 0.500
W: 0.500 0.500 0.236
W: 0.500 0.500 0.764

Calculated values
**SG**: Cmmm, No. 65
**Polymorph energy (0 for the lowest one)**: 0.00 eV/f.u.

Record 8
A relaxed structure of Mn4MoW, computed with GGA-PBEsol.

a b c (Å): 4.667 4.667 4.667
angles (deg): 60.00 60.00 60.00
Sites, in units of the cell vectors:
Mn: 0.125 0.125 0.125
Mn: 0.125 0.125 0.624
Mn: 0.125 0.624 0.125
Mn: 0.624 0.125 0.125
Mo: 0.750 0.750 0.750
W: 0.500 0.500 0.500

Calculated values
**SG**: F-43m, No. 216

Record 9
A relaxed structure of Y4MnMo, computed with GGA-PBEsol.

a b c (Å): 5.939 5.939 5.939
angles (deg): 60.00 60.00 60.00
Sites, in units of the cell vectors:
Y: 0.124 0.124 0.124
Y: 0.124 0.124 0.627
Y: 0.124 0.627 0.124
Y: 0.627 0.124 0.124
Mn: 0.500 0.500 0.500
Mo: 0.750 0.750 0.750

Calculated values
**SG**: F-43m, No. 216

Record 10
A relaxed structure of YMnMo, computed with GGA-PBEsol.

a b c (Å): 3.855 3.855 4.572
angles (deg): 90.00 90.00 120.00
Sites, in units of the cell vectors:
Y: 0.000 0.000 0.000
Mn: 0.667 0.333 0.500
Mo: 0.333 0.667 0.500

Calculated values
**SG**: P-6m2, No. 187

Record 11
A relaxed structure of MnZn2Mo, computed with GGA-PBEsol.

a b c (Å): 2.590 4.199 5.053
angles (deg): 90.00 103.29 90.00
Sites, in units of the cell vectors:
Mn: 0.000 0.000 0.000
Zn: 0.448 0.500 0.241
Zn: 0.552 0.500 0.759
Mo: 0.000 0.000 0.500

Calculated values
**SG**: P2/m, No. 10
**Polymorph energy (0 for the lowest one)**: 0.00 eV/f.u.

Record 12
A relaxed structure of MnZn2Mo, computed with GGA-PBEsol.

a b c (Å): 4.500 4.500 4.800
angles (deg): 96.06 96.06 33.51
Sites, in units of the cell vectors:
Mn: 0.000 0.000 0.000
Zn: 0.258 0.258 0.718
Zn: 0.507 0.507 0.499
Mo: 0.756 0.756 0.208

Calculated values
**SG**: Cm, No. 8
**Polymorph energy (0 for the lowest one)**: 0.02 eV/f.u.

In order of appearance, formation enthalpy at 0 K = 0.096 1.458 0.294 0.423 0.164 0.113 0.089 -0.058 1.098 0.358 0.168 0.172 eV/atom.